The following is a DFT calculation (PBE) of a relaxed structure of AcPr5Sm3.

The structure in extended XYZ format:
```
18
Lattice="-0.331 6.795 1.833 -6.803 -4.896 3.377 9.395 -1.506 7.283" Properties=species:S:1:pos:R:3 pbc="T T T"
Pr 6.946 0.934 6.019
Sm 0.000 0.000 0.000
Sm -2.325 -1.681 2.947
Pr -1.215 -1.840 6.652
Pr 5.569 -1.126 7.967
Pr 2.118 4.355 3.097
Pr 1.321 2.164 8.544
Ac 2.270 1.238 2.256
Pr 3.484 -2.618 10.287
Pr -1.223 3.012 2.206
Ac 6.794 4.052 6.860
Pr -3.308 1.519 4.526
Pr 3.475 2.233 5.840
Pr 0.940 -1.771 3.949
Sm -0.041 1.390 5.517
Sm 4.586 2.074 9.546
Sm 4.698 -0.753 3.641
Sm 2.302 -0.997 6.976
```

Mass density = 6.9 g/cm3
Polymorph energy (0 for the lowest one) = 0.000 eV/atom
Calculated total energy = -4.516 eV/atom
Total moment = 0.00 μB per formula unit
Symmetry = C2/c, No. 15
DFT formation energy = 0.1686 eV per atom

The following is a DFT calculation (PBE) of a relaxed structure of Ac2Pr4Sm.

The structure in extended XYZ format:
```
7
Lattice="-5.449 0.032 -2.300 -2.446 -5.046 -1.881 -6.073 -3.034 6.739" Properties=species:S:1:pos:R:3 pbc="T T T"
Sm -6.984 -4.024 1.279
Ac -8.359 -4.569 4.528
Pr -3.727 -2.105 1.194
Pr -8.857 -5.395 -1.908
Pr -10.241 -5.943 1.364
Ac -5.609 -3.480 -1.970
Pr -5.111 -2.653 4.466
```

Mass density = 7.2 g/cm3
Polymorph energy (0 for the lowest one) = 0.090 eV/atom
Calculated total energy = -4.462 eV/atom
Total moment = 0.00 μB per formula unit
Symmetry = R-3m, No. 166
DFT formation energy = 0.1173 eV per atom

The following is a DFT calculation (PBE) of a relaxed structure of Ac6PrSm4.

The structure in extended XYZ format:
```
11
Lattice="8.321 -4.015 -6.646 -5.954 9.236 2.963 -2.588 4.015 10.330" Properties=species:S:1:pos:R:3 pbc="T T T"
Sm -2.078 3.223 7.127
Ac -6.558 10.174 7.701
Ac 1.184 2.611 -1.842
Ac -1.042 5.152 4.127
Ac 2.866 0.000 1.842
Sm 0.394 2.787 1.795
Ac -5.220 8.099 10.630
Sm -4.157 6.449 2.575
Pr 0.000 0.000 0.000
Ac 4.059 -0.938 -2.519
Sm -2.922 10.028 8.441
```

Mass density = 7.3 g/cm3
Calculated total energy = -4.078 eV/atom
Total moment = 0.00 μB per formula unit
Symmetry = I-42m, No. 121
DFT formation energy = 0.3135 eV per atom

The following is a DFT calculation (PBE) of a relaxed structure of Ac14PrSm.

The structure in extended XYZ format:
```
16
Lattice="7.834 1.051 0.000 -1.051 7.834 0.000 0.000 0.000 11.252" Properties=species:S:1:pos:R:3 pbc="T T T"
Ac 0.581 3.064 8.500
Ac 4.506 3.592 2.766
Ac 0.056 6.989 2.738
Ac 2.799 1.362 5.626
Ac 6.206 5.826 5.626
Ac 3.980 7.516 2.752
Ac 2.815 1.386 0.000
Ac 0.581 3.064 2.752
Sm 6.723 1.899 0.000
Pr 2.280 5.291 0.000
Ac 6.723 1.899 5.626
Ac 2.282 5.289 5.626
Ac 3.980 7.516 8.500
Ac 4.506 3.592 8.486
Ac 6.188 5.803 0.000
Ac 0.056 6.989 8.514
```

Mass density = 8.2 g/cm3
Calculated total energy = -4.166 eV/atom
Total moment = 0.00 μB per formula unit
Symmetry = Amm2, No. 38
DFT formation energy = 0.0222 eV per atom